Entry 1:
# Mn2CuPd8

A relaxed structure of Mn2CuPd8 (PBE-GGA, Alexandria via LeMat-Bulk).

abc: 4.1932 6.9653 7.0984
angles: 119.38 107.18 90.00
With the nearest neighbours (Å) after each atom.
Fractional coordinates of all 11 atoms:
Cu1 0.5000 0.0000 0.0000  8 Pd 2.65-2.71
Pd1 0.3470 0.1292 0.6940  3 Mn 2.61-2.64, 1 Cu 2.65, 5 Pd 2.76-2.87
Pd2 0.8529 0.8529 0.7058  2 Cu 2.71, 8 Pd 2.73-2.87, 2 Mn 2.76
Pd3 0.0000 0.3054 0.0000  2 Mn 2.68, 7 Pd 2.71-2.76, 2 Cu 2.99
Pd4 0.6530 0.4352 0.3060  3 Mn 2.61-2.64, 1 Cu 2.65, 5 Pd 2.76-2.87
Pd5 0.0000 0.6946 0.0000  2 Mn 2.68, 7 Pd 2.71-2.76, 2 Cu 2.99
Pd6 0.3470 0.5648 0.6940  3 Mn 2.61-2.64, 1 Cu 2.65, 5 Pd 2.76-2.87
Pd7 0.1471 0.1471 0.2942  2 Cu 2.71, 8 Pd 2.73-2.87, 2 Mn 2.76
Pd8 0.6530 0.8708 0.3060  3 Mn 2.61-2.64, 1 Cu 2.65, 5 Pd 2.76-2.87
Mn1 0.8009 0.3009 0.6019  10 Pd 2.61-2.76
Mn2 0.1991 0.6991 0.3981  10 Pd 2.61-2.76

- size of the total moment (μB/atom) = 0.861
- V (A^3/atom) = 15.45
- energy of formation (eV per atom) = -0.087
- uncorrected energy (eV per atom) = -5.9035

---

Entry 2:
# Si2HgCl2

A relaxed structure of Si2HgCl2 (PBE-GGA, Alexandria via LeMat-Bulk).

abc: 4.3888 4.3888 6.5064
angles: 70.29 70.29 90.00
With the nearest neighbours (Å) after each atom.
Fractional coordinates of all 5 atoms:
Hg1 0.0000 0.0000 0.0000  8 Si 3.33, 8 Cl 3.60
Si1 0.6047 0.6047 0.7905  1 Si 2.40
Si2 0.3953 0.3953 0.2095  1 Si 2.40
Cl1 0.2500 0.7500 0.5000  4 Si 2.75
Cl2 0.7500 0.2500 0.5000  4 Si 2.75

- size of the total moment (μB/atom) = 0.000
- formation energy (no corrections) (eV/f.u.) = 1.5
- energy above the lowest structure with this stoichiometry (eV/atom) = 0.459
- V (A^3/atom) = 22.03
- uncorrected energy (eV per atom) = -2.6677

---

Entry 3:
# Pa2Si3NiRh4

A relaxed structure of Pa2Si3NiRh4 (PBE-GGA, Alexandria via LeMat-Bulk).

abc: 4.0119 4.0119 10.2902
angles: 90.00 90.00 90.00
With the nearest neighbours (Å) after each atom.
Fractional coordinates of all 10 atoms:
Rh1 0.0000 0.5000 0.3574  3 Si 2.36-2.49, 2 Ni 2.49
Rh2 0.0000 0.0000 0.0000  4 Si 2.40
Rh3 0.5000 0.5000 0.0000  4 Si 2.40
Rh4 0.5000 0.0000 0.6426  3 Si 2.36-2.49, 2 Ni 2.49
Pa1 0.5000 0.0000 0.2568  8 Rh 3.02-3.32, 6 Si 3.13-3.21, 2 Ni 3.21
Pa2 0.0000 0.5000 0.7432  8 Rh 3.02-3.32, 6 Si 3.13-3.21, 2 Ni 3.21
Si1 0.0000 0.0000 0.5000  4 Rh 2.49
Si2 0.5000 0.0000 0.8716  5 Rh 2.36-2.40
Si3 0.0000 0.5000 0.1284  5 Rh 2.36-2.40
Ni1 0.5000 0.5000 0.5000  4 Rh 2.49

- size of the total moment (μB/atom) = 0.000
- formation energy (no corrections) (eV/f.u.) = -8.6
- V (A^3/atom) = 16.56
- uncorrected energy (eV per atom) = -7.9009

---

Entry 4:
# Tm3PbC

A relaxed structure of Tm3PbC (PBE-GGA, Alexandria via LeMat-Bulk).

abc: 4.8367 4.8367 4.8367
angles: 90.00 90.00 90.00
With the nearest neighbours (Å) after each atom.
Fractional coordinates of all 5 atoms:
Pb1 0.0000 0.0000 0.0000  12 Tm 3.42
Tm1 0.0000 0.5000 0.5000  2 C 2.42
Tm2 0.5000 0.0000 0.5000  2 C 2.42
Tm3 0.5000 0.5000 0.0000  2 C 2.42
C1 0.5000 0.5000 0.5000  6 Tm 2.42

- size of the total moment (μB/atom) = 0.000
- V (A^3/atom) = 22.63
- energy of formation (eV per atom) = -0.567
- uncorrected energy (eV per atom) = -5.8359

---

Entry 5:
# MgPbSe4

A relaxed structure of MgPbSe4 (PBE-GGA, Alexandria via LeMat-Bulk).

abc: 5.8872 5.8872 5.8872
angles: 60.00 60.00 60.00
With the nearest neighbours (Å) after each atom.
Fractional coordinates of all 6 atoms:
Se1 0.3766 0.8701 0.3766  6 Se 2.91-2.98
Se2 0.3766 0.3766 0.8701  6 Se 2.91-2.98
Se3 0.3766 0.3766 0.3766  6 Se 2.91-2.98
Se4 0.8701 0.3766 0.3766  6 Se 2.91-2.98
Mg1 0.7500 0.7500 0.7500  12 Se 3.45, 4 Pb 3.61
Pb1 0.0000 0.0000 0.0000  12 Se 3.46, 4 Mg 3.61

- size of the total moment (μB/atom) = 0.000
- formation energy (no corrections) (eV/f.u.) = 1.3
- V (A^3/atom) = 24.05
- uncorrected energy (eV per atom) = -2.9866

---

Entry 6:
# Pr8Sm2Tl

A relaxed structure of Pr8Sm2Tl (PBE-GGA, Alexandria via LeMat-Bulk).

abc: 5.1243 8.2119 9.6739
angles: 104.92 105.36 90.00
With the nearest neighbours (Å) after each atom.
Fractional coordinates of all 11 atoms:
Pr1 0.4097 0.5574 0.8194  1 Tl 3.57, 8 Pr 3.60-3.74, 3 Sm 3.63-3.67
Pr2 0.0442 0.7277 0.0884  9 Pr 3.60-3.72, 2 Tl 3.64, 1 Sm 3.64
Pr3 0.5903 0.4426 0.1806  1 Tl 3.57, 8 Pr 3.60-3.74, 3 Sm 3.63-3.67
Pr4 0.1373 0.1794 0.2746  7 Pr 3.60-3.71, 2 Tl 3.64, 3 Sm 3.65-3.67
Pr5 0.9558 0.2723 0.9116  9 Pr 3.60-3.72, 2 Tl 3.64, 1 Sm 3.64
Pr6 0.3221 0.0916 0.6442  1 Tl 3.59, 8 Pr 3.60-3.74, 3 Sm 3.67-3.72
Pr7 0.6779 0.9084 0.3558  1 Tl 3.59, 8 Pr 3.60-3.74, 3 Sm 3.67-3.72
Pr8 0.8627 0.8206 0.7254  7 Pr 3.60-3.71, 2 Tl 3.64, 3 Sm 3.65-3.67
Sm1 0.2244 0.6335 0.4487  10 Pr 3.63-3.72, 2 Sm 3.66
Sm2 0.7756 0.3665 0.5513  10 Pr 3.63-3.72, 2 Sm 3.66
Tl1 0.5000 0.0000 0.0000  12 Pr 3.57-3.64

- size of the total moment (μB/atom) = 0.000
- energy above the lowest structure with this stoichiometry (eV/atom) = 0.000
- V (A^3/atom) = 34.39
- energy of formation (eV per atom) = -0.044
- uncorrected energy (eV per atom) = -4.5928

---

Entry 7:
# Tb3Pd12Pb

A relaxed structure of Tb3Pd12Pb (PBE-GGA, Alexandria via LeMat-Bulk).

abc: 4.1294 4.1294 16.4924
angles: 90.00 90.00 90.00
With the nearest neighbours (Å) after each atom.
Fractional coordinates of all 16 atoms:
Pd1 0.5000 0.5000 0.5000  4 Tb 2.92, 8 Pd 2.92
Pd2 0.0000 0.5000 0.6255  4 Tb 2.91-2.92, 8 Pd 2.92-2.94
Pd3 0.5000 0.5000 0.0000  8 Pd 2.90, 4 Pb 2.92
Pd4 0.5000 0.5000 0.7524  8 Pd 2.91-2.94, 4 Tb 2.92
Pd5 0.0000 0.5000 0.1235  8 Pd 2.90-2.92, 2 Pb 2.90, 2 Tb 2.94
Pd6 0.5000 0.0000 0.3745  4 Tb 2.91-2.92, 8 Pd 2.92-2.94
Pd7 0.5000 0.5000 0.2476  8 Pd 2.91-2.94, 4 Tb 2.92
Pd8 0.5000 0.0000 0.6255  4 Tb 2.91-2.92, 8 Pd 2.92-2.94
Pd9 0.5000 0.0000 0.8765  2 Pb 2.90, 8 Pd 2.90-2.92, 2 Tb 2.94
Pd10 0.0000 0.5000 0.8765  2 Pb 2.90, 8 Pd 2.90-2.92, 2 Tb 2.94
Pd11 0.5000 0.0000 0.1235  8 Pd 2.90-2.92, 2 Pb 2.90, 2 Tb 2.94
Pd12 0.0000 0.5000 0.3745  4 Tb 2.91-2.92, 8 Pd 2.92-2.94
Tb1 0.0000 0.0000 0.7498  12 Pd 2.91-2.94
Tb2 0.0000 0.0000 0.2502  12 Pd 2.91-2.94
Tb3 0.0000 0.0000 0.5000  12 Pd 2.92
Pb1 0.0000 0.0000 0.0000  12 Pd 2.90-2.92

- size of the total moment (μB/atom) = 0.000
- V (A^3/atom) = 17.58
- energy of formation (eV per atom) = -0.724
- uncorrected energy (eV per atom) = -5.7189

---

Entry 8:
# NiWSe

A relaxed structure of NiWSe (PBE-GGA, Alexandria via LeMat-Bulk).

abc: 4.2133 4.2133 3.0012
angles: 90.00 90.00 120.00
With the nearest neighbours (Å) after each atom.
Fractional coordinates of all 3 atoms:
Se1 0.6667 0.3333 0.4990  3 W 2.43
Ni1 0.0000 0.0000 0.0005  6 Se 2.86, 6 W 2.86, 2 Ni 3.00
W1 0.3333 0.6667 0.5005  3 Se 2.43

- size of the total moment (μB/atom) = 0.000
- formation energy (no corrections) (eV/f.u.) = 1.4
- energy above the lowest structure with this stoichiometry (eV/atom) = 0.280
- V (A^3/atom) = 15.38
- uncorrected energy (eV per atom) = -6.9427

---

Entry 9:
# NiGe2Te6

A relaxed structure of NiGe2Te6 (PBE-GGA, Alexandria via LeMat-Bulk).

abc: 7.0107 8.7598 8.7598
angles: 83.41 82.44 82.44
With the nearest neighbours (Å) after each atom.
Fractional coordinates of all 18 atoms:
Ge1 0.3286 0.2279 0.3950  4 Te 2.66-2.75
Ge2 0.8286 0.3950 0.2279  4 Te 2.66-2.75
Ge3 0.6714 0.7721 0.6050  4 Te 2.66-2.75
Ge4 0.1714 0.6050 0.7721  4 Te 2.66-2.75
Te1 0.3951 0.0183 0.1777  2 Ni 2.59-2.67, 1 Ge 2.75
Te2 0.8784 0.8996 0.3581  1 Ni 2.60, 1 Ge 2.66
Te3 0.1216 0.1004 0.6419  1 Ni 2.60, 1 Ge 2.66
Te4 0.8951 0.1777 0.0183  2 Ni 2.59-2.67, 1 Ge 2.75
Te5 0.6496 0.2819 0.5005  2 Ge 2.66-2.69
Te6 0.1496 0.5005 0.2819  2 Ge 2.66-2.69
Te7 0.8504 0.4995 0.7181  2 Ge 2.66-2.69
Te8 0.3504 0.7181 0.4995  2 Ge 2.66-2.69
Te9 0.6049 0.9817 0.8223  2 Ni 2.59-2.67, 1 Ge 2.75
Te10 0.6216 0.6419 0.1004  1 Ni 2.60, 1 Ge 2.66
Te11 0.3784 0.3581 0.8996  1 Ni 2.60, 1 Ge 2.66
Te12 0.1049 0.8223 0.9817  2 Ni 2.59-2.67, 1 Ge 2.75
Ni1 0.7500 0.9084 0.0916  6 Te 2.59-2.67
Ni2 0.2500 0.0916 0.9084  6 Te 2.59-2.67

- size of the total moment (μB/atom) = 0.000
- formation energy (no corrections) (eV/f.u.) = 0.1
- V (A^3/atom) = 29.22
- uncorrected energy (eV per atom) = -3.7553

---

Entry 10:
# Y3HgN

A relaxed structure of Y3HgN (PBE-GGA, Alexandria via LeMat-Bulk).

abc: 9.0938 9.0938 9.0938
angles: 60.00 60.00 60.00
With the nearest neighbours (Å) after each atom.
Fractional coordinates of all 20 atoms:
Y1 0.4380 0.0620 0.0620  2 N 2.41
Y2 0.0620 0.4380 0.0620  2 N 2.41
Y3 0.4380 0.4380 0.0620  2 N 2.41
Y4 0.8120 0.1880 0.1880  2 N 2.41
Y5 0.1880 0.8120 0.8120  2 N 2.41
Y6 0.0620 0.0620 0.4380  2 N 2.41
Y7 0.4380 0.0620 0.4380  2 N 2.41
Y8 0.8120 0.1880 0.8120  2 N 2.41
Y9 0.8120 0.8120 0.1880  2 N 2.41
Y10 0.1880 0.8120 0.1880  2 N 2.41
Y11 0.0620 0.4380 0.4380  2 N 2.41
Y12 0.1880 0.1880 0.8120  2 N 2.41
Hg1 0.6250 0.1250 0.6250  6 Y 3.31
Hg2 0.6250 0.6250 0.1250  6 Y 3.31
Hg3 0.6250 0.6250 0.6250  6 Y 3.31
Hg4 0.1250 0.6250 0.6250  6 Y 3.31
N1 0.1250 0.6250 0.1250  6 Y 2.41
N2 0.6250 0.1250 0.1250  6 Y 2.41
N3 0.1250 0.1250 0.6250  6 Y 2.41
N4 0.1250 0.1250 0.1250  6 Y 2.41

- size of the total moment (μB/atom) = 0.142
- formation energy (no corrections) (eV/f.u.) = -2.6
- V (A^3/atom) = 26.59
- uncorrected energy (eV per atom) = -6.1312

---

Entry 11:
# YErMgRu

A relaxed structure of YErMgRu (PBE-GGA, Alexandria via LeMat-Bulk).

abc: 5.0083 5.0083 5.0083
angles: 60.00 60.00 60.00
With the nearest neighbours (Å) after each atom.
Fractional coordinates of all 4 atoms:
Ru1 0.7500 0.7500 0.7500  4 Er 3.07, 4 Y 3.07
Y1 0.5000 0.5000 0.5000  4 Ru 3.07, 4 Mg 3.07
Er1 0.0000 0.0000 0.0000  4 Mg 3.07, 4 Ru 3.07
Mg1 0.2500 0.2500 0.2500  4 Y 3.07, 4 Er 3.07

- size of the total moment (μB/atom) = 0.000
- energy above the lowest structure with this stoichiometry (eV/atom) = 0.095
- V (A^3/atom) = 22.21
- energy of formation (eV per atom) = -0.207
- uncorrected energy (eV per atom) = -5.6818

---

Entry 12:
# Zn2Ni2Rh3

A relaxed structure of Zn2Ni2Rh3 (PBE-GGA, Alexandria via LeMat-Bulk).

abc: 3.8787 2.7243 9.0596
angles: 90.00 77.64 90.00
With the nearest neighbours (Å) after each atom.
Fractional coordinates of all 7 atoms:
Zn1 0.5735 0.5000 0.8530  1 Ni 2.46, 3 Zn 2.60-2.72, 4 Rh 2.70
Zn2 0.4265 0.5000 0.1470  1 Ni 2.46, 3 Zn 2.60-2.72, 4 Rh 2.70
Rh1 0.8450 0.0000 0.3101  6 Ni 2.58-2.71, 3 Rh 2.72-2.74, 4 Zn 2.77
Rh2 0.1550 0.0000 0.6899  6 Ni 2.58-2.71, 3 Rh 2.72-2.74, 4 Zn 2.77
Rh3 0.0000 0.0000 0.0000  8 Zn 2.70, 4 Rh 2.72-2.74
Ni1 0.7125 0.5000 0.5751  2 Ni 2.35, 1 Zn 2.46, 4 Rh 2.58
Ni2 0.2875 0.5000 0.4249  2 Ni 2.35, 1 Zn 2.46, 4 Rh 2.58

- size of the total moment (μB/atom) = 0.381
- V (A^3/atom) = 13.36
- energy of formation (eV per atom) = -0.097
- uncorrected energy (eV per atom) = -5.2631

---

Entry 13:
# PaNi6

A relaxed structure of PaNi6 (PBE-GGA, Alexandria via LeMat-Bulk).

abc: 4.8050 7.8187 9.7095
angles: 90.00 90.00 90.00
With the nearest neighbours (Å) after each atom.
Fractional coordinates of all 28 atoms:
Ni1 0.2500 0.3106 0.7427  9 Ni 2.35-2.63
Ni2 0.2500 0.6540 0.3487  8 Ni 2.44-2.58
Ni3 0.4940 0.9381 0.3062  9 Ni 2.34-2.55
Ni4 0.0060 0.4381 0.1938  9 Ni 2.34-2.55
Ni5 0.7500 0.8460 0.8487  8 Ni 2.44-2.58
Ni6 0.2500 0.5500 0.5861  5 Ni 2.41-2.63
Ni7 0.7500 0.6894 0.2573  9 Ni 2.35-2.63
Ni8 0.7500 0.1063 0.4806  6 Ni 2.40-2.50
Ni9 0.5060 0.5619 0.8062  9 Ni 2.34-2.55
Ni10 0.7500 0.4500 0.4139  5 Ni 2.41-2.63
Ni11 0.7500 0.9500 0.0861  5 Ni 2.41-2.63
Ni12 0.7500 0.6063 0.0194  6 Ni 2.40-2.50
Ni13 0.2500 0.1540 0.1513  8 Ni 2.44-2.58
Ni14 0.7500 0.1894 0.2427  9 Ni 2.35-2.63
Ni15 0.2500 0.0500 0.9139  5 Ni 2.41-2.63
Ni16 0.7500 0.3461 0.6513  8 Ni 2.44-2.58
Ni17 0.2500 0.3937 0.9806  6 Ni 2.40-2.50
Ni18 0.5060 0.0619 0.6938  9 Ni 2.34-2.55
Ni19 0.9940 0.5619 0.8062  9 Ni 2.34-2.55
Ni20 0.2500 0.8106 0.7573  9 Ni 2.35-2.63
Ni21 0.4940 0.4381 0.1938  9 Ni 2.34-2.55
Ni22 0.0060 0.9381 0.3062  9 Ni 2.34-2.55
Ni23 0.9940 0.0619 0.6938  9 Ni 2.34-2.55
Ni24 0.2500 0.8937 0.5194  6 Ni 2.40-2.50
Pa1 0.2500 0.7560 0.0647  12 Ni 2.71-3.02
Pa2 0.2500 0.2560 0.4353  12 Ni 2.71-3.02
Pa3 0.7500 0.2440 0.9353  12 Ni 2.71-3.02
Pa4 0.7500 0.7440 0.5647  12 Ni 2.71-3.02

- size of the total moment (μB/atom) = 0.000
- energy above the lowest structure with this stoichiometry (eV/atom) = 0.000
- V (A^3/atom) = 13.03
- energy of formation (eV per atom) = -0.275
- uncorrected energy (eV per atom) = -6.5869